A relaxed structure of SmGaHg2, computed with PBE.

The structure belongs to space group R-3m (No. 166, hexagonal axes); the cell edges are 3.4069, 3.4069 and 32.6002 Å and the angles 90.00°, 90.00° and 120.00°. The distinct sites, in fractional coordinates, are Sm at (0.0000, 0.0000, 0.0000), Ga at (0.0000, 0.0000, 0.5000) and Hg at (0.0000, 0.0000, 0.0955).

As for the electronic total energy: -1.9620 eV per atom. The calculation puts the density of states at the Fermi level at 3.035 states/eV/f.u. The value obtained for the formation energy is 0.5 eV per formula unit.